Compound: Sc3Zn4
Source: the Alexandria database
Functional: GGA-PBE
Structure: relaxed

a b c (Å): 3.136 3.136 26.143
angles (deg): 90.00 90.00 90.00
Space group I4/mmm (No. 139)
Inequivalent atoms, fractional coordinates:
Sc (0.000, 0.000, 0.000) (multiplicity 2)
Sc (0.000, 0.000, 0.296) (multiplicity 4)
Zn (0.000, 0.000, 0.131) (multiplicity 4)
Zn (0.000, 0.000, 0.427) (multiplicity 4)

Properties
Its energy above the most stable polymorph in this dataset is 0 meV per atom. Its total magnetization is 0.513 μB/cell. For the final energy, the calculation gives -25.57 eV/f.u. The crystal system is tetragonal.